Computed, not measured: a relaxed structure of Sr2CaScO5 at the PBE level of DFT.

Values from the calculation:
Fermi-level density of states = 0.00 states/eV per atom
Energy relative to the elements, uncorrected = -2779 meV/atom
M_tot = 1.04 μB/f.u.
Density = 4.2 g/cm3

Cell lengths 7.3338, 7.3338, 10.4215 Å; angles 90.00, 90.00, 151.30 degrees
Atoms (fractional coordinates):
Sr (0.1162, 0.8838, 0.5000)
Sr (0.1297, 0.8703, 0.0994)
Sr (0.8703, 0.1297, 0.5994)
Sr (0.8838, 0.1162, 0.0000)
Ca (0.2151, 0.7849, 0.8197)
Ca (0.7849, 0.2151, 0.3197)
Sc (0.4756, 0.5244, 0.2915)
Sc (0.5244, 0.4756, 0.7915)
O (0.0478, 0.9522, 0.8690)
O (0.2882, 0.7118, 0.4694)
O (0.3372, 0.6628, 0.1880)
O (0.3782, 0.6218, 0.8047)
O (0.4918, 0.5082, 0.0968)
O (0.5082, 0.4918, 0.5968)
O (0.6218, 0.3782, 0.3047)
O (0.6628, 0.3372, 0.6880)
O (0.7118, 0.2882, 0.9694)
O (0.9522, 0.0478, 0.3690)

Computed, not measured: a relaxed structure of CsBaCdHg at the PBE level of DFT.

Values from the calculation:
Fermi-level density of states = 1.30 states/eV per atom
Energy relative to the elements = -0.16 eV/atom
M_tot = 0.00 μB/f.u.
Density = 5.7 g/cm3

Cell lengths 6.2038, 6.2038, 6.2038 Å; angles 60.00, 60.00, 60.00 degrees
Atoms (fractional coordinates):
Cs (0.0000, 0.0000, 0.0000)
Ba (0.5000, 0.5000, 0.5000)
Cd (0.2500, 0.2500, 0.2500)
Hg (0.7500, 0.7500, 0.7500)

Computed, not measured: a relaxed structure of Tb6Mg2Tl at the PBE level of DFT.

Values from the calculation:
Fermi-level density of states = 1.25 states/eV per atom
Energy relative to the elements = -0.03 eV/atom
M_tot = 0.00 μB/f.u.
Density = 7.5 g/cm3

Cell lengths 8.6938, 8.6938, 11.7762 Å; angles 132.52, 132.52, 24.61 degrees
Atoms (fractional coordinates):
Tb (0.0381, 0.0381, 0.3950)
Tb (0.3143, 0.3143, 0.2550)
Tb (0.3276, 0.3276, 0.6790)
Tb (0.6724, 0.6724, 0.3210)
Tb (0.6857, 0.6857, 0.7450)
Tb (0.9619, 0.9619, 0.6050)
Mg (0.3868, 0.3868, 0.0594)
Mg (0.6132, 0.6132, 0.9406)
Tl (0.0000, 0.0000, 0.0000)

Computed, not measured: a relaxed structure of AsPt5 at the PBE level of DFT.

Values from the calculation:
Fermi-level density of states = 1.28 states/eV per atom
Energy relative to the elements = 0.27 eV/atom
M_tot = 0.00 μB/f.u.
Density = 16.1 g/cm3

Cell lengths 5.2279, 5.2279, 4.5688 Å; angles 90.00, 90.00, 120.00 degrees
Atoms (fractional coordinates):
As (0.0000, 0.0000, 0.0000)
Pt (0.0000, 0.5000, 0.5000)
Pt (0.3333, 0.6667, 0.0000)
Pt (0.5000, 0.0000, 0.5000)
Pt (0.5000, 0.5000, 0.5000)
Pt (0.6667, 0.3333, 0.0000)